Here is an optimized crystal structure of MnIn2Sb from Alexandria. Energies are from GGA-PBE.

- E_form (uncorrected) (meV per atom) = 241
- density of states at the Fermi level (states/eV/atom) = 0.60

a = 5.7048 Å, b = 5.7048 Å, c = 5.7048 Å
α = 139.19°, β = 127.15°, γ = 68.86°
Fractional coordinates of all 4 atoms:
In 0.7289 0.2289 0.5000
In 0.0005 0.0005 0.0000
Mn 0.4933 0.4933 0.0000
Sb 0.2773 0.7773 0.5000